1.
Here is Ac2Sm3Ho2 after structural relaxation from Alexandria. Energies are from PBE.

Lattice parameters (Å, degrees): 9.304 9.304 5.860 108.26 108.26 34.12
Fractional coordinates of all 7 atoms:
1 Ac 0.111 0.111 0.110
2 Ac 0.889 0.889 0.890
3 Sm 0.000 0.000 0.500
4 Sm 0.238 0.238 0.737
5 Sm 0.762 0.762 0.263
6 Ho 0.389 0.389 0.388
7 Ho 0.611 0.611 0.612

* energy: -29.5 eV for the cell shown
* space group: C2/m

***

2.
Here is Sr2Hg2Pd15 after structural relaxation from Alexandria. Energies are from PBE.

Lattice parameters (Å, degrees): 7.088 7.088 7.088 82.72 82.72 82.72
Fractional coordinates of all 19 atoms:
1 Sr 0.153 0.153 0.153
2 Sr 0.847 0.847 0.847
3 Hg 0.397 0.397 0.397
4 Hg 0.603 0.603 0.603
5 Pd 0.000 0.500 0.500
6 Pd 0.153 0.153 0.657
7 Pd 0.153 0.657 0.153
8 Pd 0.197 0.500 0.803
9 Pd 0.197 0.803 0.500
10 Pd 0.343 0.847 0.847
11 Pd 0.500 0.000 0.500
12 Pd 0.500 0.197 0.803
13 Pd 0.500 0.500 0.000
14 Pd 0.500 0.803 0.197
15 Pd 0.657 0.153 0.153
16 Pd 0.803 0.197 0.500
17 Pd 0.803 0.500 0.197
18 Pd 0.847 0.343 0.847
19 Pd 0.847 0.847 0.343

* energy: -86.6 eV for the cell shown
* space group: R-3m

***

3.
Here is ErAlAg after structural relaxation from Alexandria. Energies are from PBE.

Lattice parameters (Å, degrees): 4.656 4.656 4.656 60.00 60.00 60.00
Fractional coordinates of all 3 atoms:
1 Er 0.000 0.000 0.000
2 Al 0.500 0.500 0.500
3 Ag 0.250 0.250 0.250

* energy: -11.7 eV for the cell shown
* space group: F-43m

***

4.
Here is ScAuS2F after structural relaxation from Alexandria. Energies are from PBE.

Lattice parameters (Å, degrees): 4.688 4.688 5.444 90.00 90.00 90.00
Fractional coordinates of all 5 atoms:
1 Sc 0.000 0.000 0.000
2 Au 0.000 0.000 0.500
3 S 0.000 0.500 0.500
4 S 0.500 0.000 0.500
5 F 0.500 0.500 0.000

* energy relative to the elements, uncorrected: -0.03 eV/atom
* space group: P4/mmm

***

5.
Here is SmGdY after structural relaxation from Alexandria. Energies are from PBE.

Lattice parameters (Å, degrees): 3.603 3.603 8.783 90.00 90.00 120.00
Fractional coordinates of all 3 atoms:
1 Sm 0.000 0.000 0.000
2 Gd 0.667 0.333 0.335
3 Y 0.333 0.667 0.668

* energy: -25.2 eV for the cell shown
* space group: P3m1

***

6.
Here is Ag5PbBr12 after structural relaxation from Alexandria. Energies are from PBE.

Lattice parameters (Å, degrees): 7.215 7.215 12.803 92.27 92.27 122.97
Fractional coordinates of all 18 atoms:
1 Ag 0.000 0.000 0.000
2 Ag 0.159 0.841 0.500
3 Ag 0.333 0.667 0.000
4 Ag 0.667 0.333 0.000
5 Ag 0.841 0.159 0.500
6 Pb 0.500 0.500 0.500
7 Br 0.047 0.380 0.119
8 Br 0.125 0.125 0.363
9 Br 0.147 0.498 0.624
10 Br 0.288 0.288 0.883
11 Br 0.380 0.047 0.119
12 Br 0.498 0.147 0.624
13 Br 0.502 0.853 0.376
14 Br 0.620 0.953 0.881
15 Br 0.712 0.712 0.117
16 Br 0.853 0.502 0.376
17 Br 0.875 0.875 0.637
18 Br 0.953 0.620 0.881

* energy relative to the elements, uncorrected: -0.27 eV/atom
* space group: C2/m